P | Entry from Alexandria via LeMat-Bulk: an optimized crystal structure of MgMo3C (PBE).

Lattice parameters (Å, degrees): 4.1974 4.1974 4.1974 90.00 90.00 90.00
Element x y z (fractional)
C  0.0000  0.0000  0.0000
Mo  0.5000  0.0000  0.0000
Mo  0.0000  0.0000  0.5000
Mo  0.0000  0.5000  0.0000
Mg  0.5000  0.5000  0.5000

Summary:
Magnetization, μB per formula unit: 0.0
D(E_F), states/eV/cell: 4.00

Q | Entry from Alexandria via LeMat-Bulk: an optimized crystal structure of MgMo3C (PBE).

Lattice parameters (Å, degrees): 4.5534 4.5534 4.5534 90.00 90.00 90.00
Element x y z (fractional)
Mo  0.0000  0.5000  0.0000
Mo  0.5000  0.0000  0.0000
Mo  0.0000  0.0000  0.5000
C  0.5000  0.5000  0.5000
Mg  0.0000  0.0000  0.0000

Summary:
Magnetization, μB per formula unit: 2.7
D(E_F), states/eV/cell: 5.56

Most stable = P

P | Entry from Alexandria via LeMat-Bulk: an optimized crystal structure of MgC3N (PBE).

Lattice parameters (Å, degrees): 4.1492 4.1492 4.1492 90.00 90.00 90.00
Element x y z (fractional)
C  0.0000  0.0000  0.5000
C  0.0000  0.5000  0.0000
C  0.5000  0.0000  0.0000
Mg  0.0000  0.0000  0.0000
N  0.5000  0.5000  0.5000

Summary:
Magnetization, μB per formula unit: 1.0
D(E_F), states/eV/cell: 2.70

Q | Entry from Alexandria via LeMat-Bulk: an optimized crystal structure of MgC3N (PBE).

Lattice parameters (Å, degrees): 3.5812 3.5812 3.5812 90.00 90.00 90.00
Element x y z (fractional)
C  0.0000  0.0000  0.5000
C  0.0000  0.5000  0.0000
C  0.5000  0.0000  0.0000
N  0.0000  0.0000  0.0000
Mg  0.5000  0.5000  0.5000

Summary:
Magnetization, μB per formula unit: 0.0
D(E_F), states/eV/cell: 2.30

Most stable = Q